(1)
{"formula": "Ti2Rh2Pb", "functional": "SCAN", "state": "single point on PBEsol structure", "formation_energy_ev_per_atom": -0.5175, "sg": "I4/mmm (139)", "cell": [[-1.354, 1.920, 3.468], [-3.824, -1.598, -0.609], [3.877, -4.309, 1.370]], "species": ["Ti", "Ti", "Rh", "Rh", "Pb"], "fractional_positions": [[0.750, 0.250, 0.500], [0.250, 0.750, 0.500], [0.378, 0.378, 0.756], [0.622, 0.622, 0.244], [0.000, 0.000, 0.000]]}

---

(2)
{"formula": "ReRh7", "functional": "SCAN", "state": "single point on PBEsol structure", "formation_energy_ev_per_atom": -0.0703, "sg": "Cmmm (65)", "cell": [[3.787, 0.000, 0.000], [0.000, 5.345, 0.000], [0.000, -2.673, 5.365]], "species": ["Rh", "Rh", "Rh", "Rh", "Rh", "Rh", "Rh", "Re"], "fractional_positions": [[0.000, 0.755, 0.510], [0.500, 0.123, 0.754], [0.500, 0.877, 0.246], [0.500, 0.369, 0.246], [0.500, 0.631, 0.754], [0.000, 0.245, 0.490], [0.000, 0.500, 0.000], [0.000, 0.000, 0.000]]}

---

(3)
{"formula": "LiCuNi2", "functional": "SCAN", "state": "single point on PBEsol structure", "formation_energy_ev_per_atom": 0.0899, "sg": "I4/mmm (139)", "cell": [[3.452, 0.000, 0.000], [0.000, 3.452, 0.000], [-1.726, -1.726, 3.568]], "species": ["Ni", "Ni", "Li", "Cu"], "fractional_positions": [[0.250, 0.750, 0.500], [0.750, 0.250, 0.500], [0.000, 0.000, 0.000], [0.500, 0.500, 0.000]]}

---

(4)
{"formula": "ZrSc2Cl", "functional": "SCAN", "state": "single point on PBEsol structure", "e_form_raw_ev_per_fu": -2.7, "sg": "P2/m (10)", "cell": [[3.194, 0.000, 0.000], [0.000, 3.263, 0.042], [0.000, -0.122, 8.515]], "species": ["Sc", "Sc", "Zr", "Cl"], "fractional_positions": [[0.000, 0.499, 0.249], [0.000, 0.501, 0.751], [0.500, 0.000, 0.500], [0.500, 0.500, 0.000]]}

---

(5)
{"formula": "SrCd2Tc", "functional": "SCAN", "state": "single point on PBEsol structure", "formation_energy_ev_per_atom": 0.4039, "sg": "I4/mmm (139)", "cell": [[4.438, 0.000, 0.000], [0.000, 4.438, 0.000], [-2.219, -2.219, 4.359]], "species": ["Tc", "Cd", "Cd", "Sr"], "fractional_positions": [[0.000, 0.000, 0.000], [0.750, 0.250, 0.500], [0.250, 0.750, 0.500], [0.500, 0.500, 0.000]]}

---

(6)
{"formula": "Tb3In", "functional": "SCAN", "state": "single point on PBEsol structure", "formation_energy_ev_per_atom": -0.3647, "sg": "P6_3/mmc (194)", "cell": [[-0.501, 4.767, -2.423], [-0.517, -3.126, -6.044], [-5.609, 1.277, 3.672]], "species": ["Tb", "Tb", "Tb", "Tb", "Tb", "Tb", "In", "In"], "fractional_positions": [[0.750, 0.347, 0.173], [0.250, 0.653, 0.827], [0.250, 0.173, 0.827], [0.750, 0.827, 0.173], [0.250, 0.173, 0.347], [0.750, 0.827, 0.653], [0.750, 0.333, 0.667], [0.250, 0.667, 0.333]]}

---

(7)
{"formula": "PdSeIO2", "functional": "SCAN", "state": "single point on PBEsol structure", "e_form_raw_ev_per_fu": 0.2, "sg": "P4/mmm (123)", "cell": [[-0.803, -1.123, 3.509], [-1.669, -3.091, -1.371], [5.432, -3.052, 0.267]], "species": ["I", "Se", "Pd", "O", "O"], "fractional_positions": [[0.000, 0.000, 0.500], [0.000, 0.000, 0.000], [0.500, 0.500, 0.500], [0.500, 0.000, 0.000], [0.000, 0.500, 0.000]]}

---

(8)
{"formula": "Cd2InPt2", "functional": "SCAN", "state": "single point on PBEsol structure", "formation_energy_ev_per_atom": -0.3538, "sg": "P4/mbm (127)", "cell": [[-2.976, -0.764, -2.283], [-3.908, -1.525, 5.604], [-2.028, 6.688, 0.406]], "species": ["Cd", "Cd", "Cd", "Cd", "Pt", "Pt", "Pt", "Pt", "In", "In"], "fractional_positions": [[0.500, 0.844, 0.344], [0.500, 0.156, 0.656], [0.500, 0.656, 0.844], [0.500, 0.344, 0.156], [0.000, 0.142, 0.358], [0.000, 0.358, 0.858], [0.000, 0.858, 0.642], [0.000, 0.642, 0.142], [0.000, 0.500, 0.500], [0.000, 0.000, 0.000]]}

---

(9)
{"formula": "LiInBr2", "functional": "SCAN", "state": "single point on PBEsol structure", "e_form_raw_ev_per_fu": -4.4, "sg": "P2/m (10)", "cell": [[-2.865, 1.337, 1.887], [-1.690, -3.614, -0.006], [4.036, -0.199, 6.267]], "species": ["Li", "In", "Br", "Br"], "fractional_positions": [[0.500, 0.500, 0.000], [0.500, 0.000, 0.500], [0.000, 0.392, 0.228], [0.000, 0.608, 0.772]]}

---

(10)
{"formula": "GdIn5Rh", "functional": "SCAN", "state": "single point on PBEsol structure", "formation_energy_ev_per_atom": -0.5233, "sg": "P4/mmm (123)", "cell": [[-2.599, 3.601, 1.145], [-3.077, -2.823, 1.896], [3.534, 0.493, 6.470]], "species": ["In", "In", "In", "In", "In", "Rh", "Gd"], "fractional_positions": [[0.500, 0.000, 0.699], [0.000, 0.500, 0.699], [0.500, 0.500, 0.000], [0.500, 0.000, 0.301], [0.000, 0.500, 0.301], [0.000, 0.000, 0.500], [0.000, 0.000, 0.000]]}

---

(11)
{"formula": "Sc2CuPd", "functional": "SCAN", "state": "single point on PBEsol structure", "formation_energy_ev_per_atom": -0.6844, "sg": "Fm-3m (225)", "cell": [[-4.261, -0.148, -1.680], [-0.704, -1.236, -4.356], [-1.949, -4.037, -0.950]], "species": ["Cu", "Pd", "Sc", "Sc"], "fractional_positions": [[0.500, 0.500, 0.500], [0.000, 0.000, 0.000], [0.750, 0.750, 0.750], [0.250, 0.250, 0.250]]}

---

(12)
{"formula": "ReBiN2O", "functional": "SCAN", "state": "single point on PBEsol structure", "e_form_raw_ev_per_fu": 10.4, "sg": "P4/mmm (123)", "cell": [[-2.004, -0.958, 3.380], [-3.373, -1.140, -2.323], [1.503, -3.969, -0.234]], "species": ["Bi", "N", "N", "O", "Re"], "fractional_positions": [[0.000, 0.000, 0.000], [0.000, 0.500, 0.000], [0.000, 0.000, 0.500], [0.500, 0.000, 0.000], [0.500, 0.500, 0.500]]}

---

(13)
{"formula": "Cd2NiRh", "functional": "SCAN", "state": "single point on PBEsol structure", "formation_energy_ev_per_atom": -0.0003, "sg": "P4/mmm (123)", "cell": [[3.201, 0.000, 0.000], [0.000, 4.376, 0.031], [0.000, -0.029, 4.376]], "species": ["Cd", "Cd", "Ni", "Rh"], "fractional_positions": [[0.000, 0.000, 0.500], [0.000, 0.500, 0.000], [0.500, 0.500, 0.500], [0.500, 0.000, 0.000]]}

---

(14)
{"formula": "Li2CaCd", "functional": "SCAN", "state": "single point on PBEsol structure", "formation_energy_ev_per_atom": -0.1959, "sg": "Fm-3m (225)", "cell": [[4.988, 0.000, 0.000], [2.494, 4.320, 0.000], [2.494, 1.440, 4.073]], "species": ["Li", "Li", "Cd", "Ca"], "fractional_positions": [[0.750, 0.750, 0.750], [0.250, 0.250, 0.250], [0.500, 0.500, 0.500], [0.000, 0.000, 0.000]]}

---

(15)
{"formula": "RuPtIN2", "functional": "SCAN", "state": "single point on PBEsol structure", "e_form_raw_ev_per_fu": 5.1, "sg": "P4/mmm (123)", "cell": [[3.747, 0.000, 0.000], [0.000, 3.747, 0.000], [0.000, 0.000, 5.880]], "species": ["I", "N", "N", "Ru", "Pt"], "fractional_positions": [[0.000, 0.000, 0.500], [0.000, 0.500, 0.000], [0.500, 0.000, 0.000], [0.000, 0.000, 0.000], [0.500, 0.500, 0.500]]}

---

(16)
{"formula": "MgTiZn2Pt", "functional": "SCAN", "state": "single point on PBEsol structure", "formation_energy_ev_per_atom": 0.4770, "sg": "P4/mmm (123)", "cell": [[4.625, 0.000, 0.000], [0.000, 4.818, 0.000], [0.000, 0.000, 4.818]], "species": ["Zn", "Zn", "Mg", "Pt", "Ti"], "fractional_positions": [[0.000, 0.000, 0.500], [0.000, 0.500, 0.000], [0.500, 0.500, 0.500], [0.500, 0.000, 0.000], [0.000, 0.000, 0.000]]}

---

(17)
{"formula": "RbSrGe2W", "functional": "SCAN", "state": "single point on PBEsol structure", "formation_energy_ev_per_atom": 2.1465, "sg": "P4/mmm (123)", "cell": [[-2.207, -1.805, -4.345], [-3.934, -2.377, 2.986], [-3.024, 4.558, -0.357]], "species": ["Ge", "Ge", "W", "Rb", "Sr"], "fractional_positions": [[0.000, 0.500, 0.000], [0.000, 0.000, 0.500], [0.500, 0.000, 0.000], [0.000, 0.000, 0.000], [0.500, 0.500, 0.500]]}

---

(18)
{"formula": "Sc2BeP", "functional": "SCAN", "state": "single point on PBEsol structure", "formation_energy_ev_per_atom": -0.3366, "sg": "Cmm2 (35)", "cell": [[3.161, 0.034, 0.000], [-0.845, 3.046, 0.000], [0.000, 0.000, 7.056]], "species": ["Be", "P", "Sc", "Sc"], "fractional_positions": [[0.000, 0.000, 0.439], [0.500, 0.500, 0.305], [0.000, 0.000, 0.058], [0.500, 0.500, 0.698]]}

---

(19)
{"formula": "AcVO3", "functional": "SCAN", "state": "single point on PBEsol structure", "e_form_raw_ev_per_fu": -16.4, "sg": "Pm-3m (221)", "cell": [[3.905, 0.000, 0.000], [0.000, 3.905, 0.000], [0.000, 0.000, 3.905]], "species": ["Ac", "O", "O", "O", "V"], "fractional_positions": [[0.000, 0.000, 0.000], [0.500, 0.500, 0.000], [0.500, 0.000, 0.500], [0.000, 0.500, 0.500], [0.500, 0.500, 0.500]]}

---

(20)
{"formula": "K2ScTa", "functional": "SCAN", "state": "single point on PBEsol structure", "formation_energy_ev_per_atom": 1.1480, "sg": "Cmmm (65)", "cell": [[-2.021, -1.846, -1.353], [2.958, -0.738, -0.177], [-1.081, -7.005, 11.169]], "species": ["K", "K", "Ta", "Sc"], "fractional_positions": [[0.000, 0.000, 0.760], [0.000, 0.000, 0.240], [0.500, 0.500, 0.000], [0.500, 0.500, 0.500]]}

---

(21)
{"formula": "Ag2Pd2Se", "functional": "SCAN", "state": "single point on PBEsol structure", "e_form_raw_ev_per_fu": 1.2, "sg": "I4/mmm (139)", "cell": [[-0.375, -3.442, -1.036], [-0.538, -0.977, 3.438], [-6.193, 3.164, -1.970]], "species": ["Pd", "Pd", "Ag", "Ag", "Se"], "fractional_positions": [[0.596, 0.596, 0.191], [0.404, 0.404, 0.809], [0.250, 0.750, 0.500], [0.750, 0.250, 0.500], [0.000, 0.000, 0.000]]}

---

(22)
{"formula": "LaIr2Ru", "functional": "SCAN", "state": "single point on PBEsol structure", "formation_energy_ev_per_atom": 0.3476, "sg": "R-3m (166)", "cell": [[-1.061, -0.285, 2.578], [-1.777, -2.094, 0.561], [6.521, -6.475, 3.493]], "species": ["La", "Ir", "Ir", "Ru"], "fractional_positions": [[0.500, 0.500, 0.500], [0.261, 0.261, 0.218], [0.739, 0.739, 0.782], [0.000, 0.000, 0.000]]}

---

(23)
{"formula": "Ba2ZrBr", "functional": "SCAN", "state": "single point on PBEsol structure", "e_form_raw_ev_per_fu": -1.6, "sg": "P4/mmm (123)", "cell": [[3.705, 0.000, 0.000], [0.000, 3.705, 0.000], [0.000, 0.000, 9.976]], "species": ["Zr", "Ba", "Ba", "Br"], "fractional_positions": [[0.500, 0.500, 0.000], [0.000, 0.000, 0.266], [0.000, 0.000, 0.734], [0.500, 0.500, 0.500]]}

---

(24)
{"formula": "FeSb2Os", "functional": "SCAN", "state": "single point on PBEsol structure", "e_form_raw_ev_per_fu": 1.9, "sg": "Fm-3m (225)", "cell": [[-3.795, 1.854, -1.677], [-2.946, -2.564, -2.324], [-4.033, -1.042, 1.818]], "species": ["Sb", "Sb", "Os", "Fe"], "fractional_positions": [[0.750, 0.750, 0.750], [0.250, 0.250, 0.250], [0.500, 0.500, 0.500], [0.000, 0.000, 0.000]]}

---

(25)
{"formula": "MnRu2Pt", "functional": "SCAN", "state": "single point on PBEsol structure", "formation_energy_ev_per_atom": 0.1266, "sg": "Fm-3m (225)", "cell": [[4.269, 0.000, 0.000], [2.134, 3.697, 0.000], [2.134, 1.232, 3.485]], "species": ["Ru", "Ru", "Mn", "Pt"], "fractional_positions": [[0.250, 0.250, 0.250], [0.750, 0.750, 0.750], [0.000, 0.000, 0.000], [0.500, 0.500, 0.500]]}

---

(26)
{"formula": "Ni2PCl", "functional": "SCAN", "state": "single point on PBEsol structure", "e_form_raw_ev_per_fu": 1.7, "sg": "Fm-3m (225)", "cell": [[-3.061, -2.316, -1.512], [0.864, -3.333, -2.272], [-0.682, -3.771, 1.528]], "species": ["Ni", "Ni", "Cl", "P"], "fractional_positions": [[0.750, 0.750, 0.750], [0.250, 0.250, 0.250], [0.000, 0.000, 0.000], [0.500, 0.500, 0.500]]}

---

(27)
{"formula": "ZrReIr", "functional": "SCAN", "state": "single point on PBEsol structure", "formation_energy_ev_per_atom": -0.2389, "sg": "P-6m2 (187)", "cell": [[2.827, 0.000, 0.000], [0.000, 4.493, 0.000], [0.000, -2.247, 3.891]], "species": ["Zr", "Re", "Ir"], "fractional_positions": [[0.333, 0.333, 0.667], [0.833, 0.667, 0.333], [0.833, 0.000, 0.000]]}

---

(28)
{"formula": "ScIrN3", "functional": "SCAN", "state": "single point on PBEsol structure", "e_form_raw_ev_per_fu": 1.9, "sg": "Pm-3m (221)", "cell": [[3.833, 0.000, 0.000], [0.000, 3.833, 0.000], [0.000, 0.000, 3.833]], "species": ["Sc", "Ir", "N", "N", "N"], "fractional_positions": [[0.500, 0.500, 0.500], [0.000, 0.000, 0.000], [0.500, 0.000, 0.000], [0.000, 0.500, 0.000], [0.000, 0.000, 0.500]]}

---

(29)
{"formula": "Rb2TlCd2", "functional": "SCAN", "state": "single point on PBEsol structure", "formation_energy_ev_per_atom": -0.0373, "sg": "P4/mbm (127)", "cell": [[5.880, 0.000, 0.000], [0.000, 7.843, 0.000], [0.000, 0.000, 7.843]], "species": ["Rb", "Rb", "Rb", "Rb", "Cd", "Cd", "Cd", "Cd", "Tl", "Tl"], "fractional_positions": [[0.500, 0.821, 0.321], [0.500, 0.679, 0.821], [0.500, 0.321, 0.179], [0.500, 0.179, 0.679], [0.000, 0.868, 0.632], [0.000, 0.632, 0.132], [0.000, 0.368, 0.868], [0.000, 0.132, 0.368], [0.000, 0.500, 0.500], [0.000, 0.000, 0.000]]}

---

The calculation returns the following total energy values, one per record and in order: -177.97; -308.06; -49.58; -69.84; -116.55; -350.26; -101.88; -472.74; -79.09; -263.18; -79.19; -164.10; -110.77; -45.64; -155.28; -115.84; -140.15; -44.57; -143.01; -92.89; -147.16; -218.74; -130.86; -162.63; -157.59; -49.00; -173.61; -111.28; -349.70 eV for the cell shown.